Entry 1:
Below is an optimized crystal structure of LiLa4Tl, with properties calculated at the GGA-PBE level.

Lattice parameters (Å, degrees): 9.3583 9.3583 9.3583 90.00 90.00 90.00
Space group F-43m (No. 216)
Symmetry-distinct sites (fractional):
Li (0.0000, 0.0000, 0.0000)
La (0.1218, 0.1218, 0.3782)
Tl (0.2500, 0.2500, 0.7500)

Summary:
The calculation puts the distance to the lowest polymorph of the same formula at 285 meV/atom.

=====

Entry 2:
Below is an optimized crystal structure of LiGaRe, with properties calculated at the GGA-PBE level.

Lattice parameters (Å, degrees): 3.0010 3.0010 9.9912 90.00 90.00 90.00
Space group P4/nmm (No. 129, origin choice 2)
Symmetry-distinct sites (fractional):
Li (0.2500, 0.2500, 0.0879)
Ga (0.2500, 0.2500, 0.7541)
Re (0.2500, 0.2500, 0.4239)

Summary:
For the total energy, the calculation gives -5.921 eV/atom.

=====

Number 1: total magnetization 0.04 μB per cell, V 34.15 A^3/atom. Number 2: total magnetization 0.00 μB per cell, V 15.00 A^3/atom.